No. 1
Below is crystalline Ta2Rh at its relaxed geometry, with properties calculated at the PBE level.

a = 7.5069 Å, b = 7.5069 Å, c = 4.8888 Å
α = 90.00°, β = 90.00°, γ = 157.94°
Fractional coordinates of all 6 atoms:
1 Ta 0.8669 0.1331 0.2500
2 Ta 0.5417 0.4582 0.2500
3 Ta 0.4582 0.5417 0.7500
4 Ta 0.1331 0.8669 0.7500
5 Rh 0.2073 0.7927 0.2500
6 Rh 0.7927 0.2073 0.7500

Results
- Energy of formation: -0.126 eV per atom
- SG: No. 63

No. 2
Below is crystalline AcPmSm5 at its relaxed geometry, with properties calculated at the PBE level.

a = 6.7566 Å, b = 6.7566 Å, c = 12.1991 Å
α = 106.05°, β = 106.05°, γ = 96.69°
Fractional coordinates of all 14 atoms:
1 Ac 0.0000 0.0000 0.0000
2 Ac 0.0000 0.0000 0.5000
3 Pm 0.4875 0.5125 0.7500
4 Pm 0.5125 0.4875 0.2500
5 Sm 0.3840 0.0324 0.8326
6 Sm 0.4678 0.7610 0.5347
7 Sm 0.0324 0.3840 0.3326
8 Sm 0.8277 0.1723 0.7500
9 Sm 0.2390 0.5322 0.9653
10 Sm 0.7610 0.4678 0.0347
11 Sm 0.1723 0.8277 0.2500
12 Sm 0.9676 0.6160 0.6674
13 Sm 0.5322 0.2390 0.4653
14 Sm 0.6160 0.9676 0.1674

Results
- Energy of formation: 0.090 eV per atom
- SG: No. 15

No. 3
Below is crystalline PrGaSi at its relaxed geometry, with properties calculated at the PBE level.

a = 4.1977 Å, b = 4.3017 Å, c = 7.2090 Å
α = 90.00°, β = 90.00°, γ = 90.00°
Fractional coordinates of all 6 atoms:
1 Pr 0.0000 0.0000 0.0000
2 Pr 0.5000 0.0000 0.5000
3 Si 0.0000 0.5000 0.3367
4 Si 0.0000 0.5000 0.6633
5 Ga 0.5000 0.5000 0.1694
6 Ga 0.5000 0.5000 0.8306

Results
- Formation energy from raw total energies: -0.685 eV/atom
- SG: No. 47

No. 4
Below is crystalline CaZr2GaRh at its relaxed geometry, with properties calculated at the PBE level.

a = 4.9769 Å, b = 5.2752 Å, c = 4.9769 Å
α = 90.00°, β = 90.00°, γ = 90.00°
Fractional coordinates of all 5 atoms:
1 Ca 0.0000 0.5000 0.0000
2 Rh 0.5000 0.5000 0.5000
3 Ga 0.0000 0.0000 0.0000
4 Zr 0.0000 0.0000 0.5000
5 Zr 0.5000 0.0000 0.0000

Results
- Energy of formation: 0.640 eV per atom
- SG: No. 123

No. 5
Below is crystalline HfCo2HOs at its relaxed geometry, with properties calculated at the PBE level.

a = 3.8267 Å, b = 3.8267 Å, c = 3.8820 Å
α = 90.00°, β = 90.00°, γ = 90.00°
Fractional coordinates of all 5 atoms:
1 Hf 0.5000 0.5000 0.5000
2 Os 0.0000 0.0000 0.5000
3 H 0.0000 0.0000 0.0000
4 Co 0.0000 0.5000 0.0000
5 Co 0.5000 0.0000 0.0000

Results
- Energy above the most stable polymorph in this dataset: 0 meV per atom
- SG: No. 123

No. 6
Below is crystalline Li3TlHg4 at its relaxed geometry, with properties calculated at the PBE level.

a = 4.7701 Å, b = 7.4570 Å, c = 9.5492 Å
α = 90.00°, β = 90.00°, γ = 90.00°
Fractional coordinates of all 16 atoms:
1 Tl 0.0000 0.5000 0.0000
2 Tl 0.0000 0.5000 0.5000
3 Hg 0.5000 0.7812 0.0000
4 Hg 0.5000 0.7812 0.5000
5 Hg 0.5000 0.2188 0.0000
6 Hg 0.5000 0.2188 0.5000
7 Hg 0.0012 0.7810 0.7500
8 Hg 0.9988 0.7810 0.2500
9 Hg 0.9988 0.2190 0.2500
10 Hg 0.0012 0.2190 0.7500
11 Li 0.0000 0.0000 0.0000
12 Li 0.0000 0.0000 0.5000
13 Li 0.5014 0.0000 0.7500
14 Li 0.4986 0.0000 0.2500
15 Li 0.5019 0.5000 0.7500
16 Li 0.4981 0.5000 0.2500

Results
- Energy of formation: -0.250 eV per atom
- SG: No. 51